(1)
A plane-wave DFT calculation with PBE was carried out for a relaxed Zr3W crystal.

a b c (Å): 6.902 6.902 6.902
angles (deg): 90.00 90.00 90.00
Space group Fm-3m (No. 225)
Unique sites:
Zr (0.000, 0.000, 0.000)
Zr (0.250, 0.250, 0.250)
W (0.000, 0.000, 0.500)

Results
Total DFT energy (no corrections): -151.60 eV/cell
Mass density: 9241 kg/m3
Volume: 328.9 Å³ per cell
Polymorph energy (0 for the lowest one): 0.078 eV/atom

(2)
A plane-wave DFT calculation with PBE was carried out for a relaxed Pr3Cd2Sn crystal.

a b c (Å): 5.502 16.687 3.848
angles (deg): 90.00 90.00 90.00
Space group Cmmm (No. 65)
Unique sites:
Pr (0.000, 0.000, 0.000)
Pr (0.000, 0.336, 0.000)
Cd (0.000, 0.175, 0.500)
Sn (0.000, 0.500, 0.500)

Results
Total DFT energy (no corrections): -45.90 eV/cell
Mass density: 7203 kg/m3
Volume: 353.3 Å³ per cell

(3)
A plane-wave DFT calculation with PBE was carried out for a relaxed NaSn2AsSe4 crystal.

a b c (Å): 8.289 8.333 11.631
angles (deg): 90.00 90.00 90.00
Space group Imma (No. 74)
Unique sites:
Na (0.250, 0.250, 0.250)
Sn (0.000, 0.000, 0.000)
Sn (0.250, 0.250, 0.750)
As (0.000, 0.000, 0.500)
Se (0.000, 0.000, 0.260)
Se (0.232, 0.250, 0.497)

Results
Total DFT energy (no corrections): -125.14 eV/cell
Mass density: 5383 kg/m3
Volume: 803.4 Å³ per cell

(4)
A plane-wave DFT calculation with PBE was carried out for a relaxed IrBr2O crystal.

a b c (Å): 6.393 6.393 7.791
angles (deg): 90.00 90.00 90.00
Space group I-42d (No. 122)
Unique sites:
Ir (0.000, 0.000, 0.000)
Br (0.243, 0.250, 0.125)
O (0.000, 0.000, 0.500)

Results
Total DFT energy (no corrections): -54.81 eV/cell
Mass density: 7678 kg/m3
Volume: 318.4 Å³ per cell

(5)
A plane-wave DFT calculation with PBE was carried out for a relaxed Zr2CdCl crystal.

a b c (Å): 3.189 5.068 10.843
angles (deg): 90.00 90.00 90.00
Space group Imm2 (No. 44)
Unique sites:
Zr (0.000, 0.000, 0.000)
Zr (0.000, 0.500, 0.259)
Cd (0.000, 0.500, 0.794)
Cl (0.000, 0.000, 0.561)

Results
Total DFT energy (no corrections): -41.52 eV/cell
Mass density: 6261 kg/m3
Volume: 175.2 Å³ per cell
Polymorph energy (0 for the lowest one): 0.294 eV/atom

(6)
A plane-wave DFT calculation with PBE was carried out for a relaxed Ba6P2SI2 crystal.

a b c (Å): 8.186 14.105 8.625
angles (deg): 90.00 108.37 90.00
Space group C2/m (No. 12)
Unique sites:
Ba (0.228, 0.000, 0.207)
Ba (0.238, 0.334, 0.206)
P (0.000, 0.168, 0.000)
S (0.000, 0.500, 0.000)
I (0.000, 0.334, 0.500)

Results
Total DFT energy (no corrections): -89.47 eV/cell
Mass density: 4118 kg/m3
Volume: 945.1 Å³ per cell